[1]
# PBE Be2NbGa2, optimized geometry
data_Be2NbGa2
_chemical_formula_sum 'Be4 Nb2 Ga4'
_space_group_name_H-M_alt 'P 1'
_space_group_IT_number 1
_cell_length_a 6.776
_cell_length_b 6.776
_cell_length_c 2.892
_cell_angle_alpha 90.00
_cell_angle_beta 90.00
_cell_angle_gamma 90.00
loop_
_space_group_symop_operation_xyz
'x,y,z'
loop_
_atom_site_label
_atom_site_type_symbol
_atom_site_fract_x
_atom_site_fract_y
_atom_site_fract_z
Be1 Be 0.121 0.379 0.000
Be2 Be 0.379 0.879 0.000
Be3 Be 0.621 0.121 0.000
Be4 Be 0.879 0.621 0.000
Nb1 Nb 0.000 0.000 0.000
Nb2 Nb 0.500 0.500 0.000
Ga1 Ga 0.172 0.672 0.500
Ga2 Ga 0.328 0.172 0.500
Ga3 Ga 0.672 0.828 0.500
Ga4 Ga 0.828 0.328 0.500
# DFT total energy: -23.40 eV per formula unit
# Energy relative to the lowest polymorph listed for this composition: 0 meV/atom

[2]
# PBE La2Tl3CdSe6, optimized geometry
data_La2Tl3CdSe6
_chemical_formula_sum 'La2 Tl3 Cd1 Se6'
_space_group_name_H-M_alt 'P 1'
_space_group_IT_number 1
_cell_length_a 7.498
_cell_length_b 7.498
_cell_length_c 7.926
_cell_angle_alpha 99.27
_cell_angle_beta 99.27
_cell_angle_gamma 119.96
loop_
_space_group_symop_operation_xyz
'x,y,z'
loop_
_atom_site_label
_atom_site_type_symbol
_atom_site_fract_x
_atom_site_fract_y
_atom_site_fract_z
La1 La 0.166 0.834 0.000
La2 La 0.834 0.166 0.000
Tl1 Tl 0.000 0.000 0.500
Tl2 Tl 0.330 0.670 0.500
Tl3 Tl 0.670 0.330 0.500
Cd1 Cd 0.500 0.500 0.000
Se1 Se 0.103 0.427 0.783
Se2 Se 0.247 0.247 0.223
Se3 Se 0.427 0.103 0.783
Se4 Se 0.573 0.897 0.217
Se5 Se 0.753 0.753 0.777
Se6 Se 0.897 0.573 0.217
# DFT total energy: -51.33 eV per formula unit

[3]
# PBE TiNbNi, optimized geometry
data_TiNbNi
_chemical_formula_sum 'Ti2 Nb2 Ni2'
_space_group_name_H-M_alt 'P 1'
_space_group_IT_number 1
_cell_length_a 4.983
_cell_length_b 4.983
_cell_length_c 4.983
_cell_angle_alpha 121.53
_cell_angle_beta 103.81
_cell_angle_gamma 103.79
loop_
_space_group_symop_operation_xyz
'x,y,z'
loop_
_atom_site_label
_atom_site_type_symbol
_atom_site_fract_x
_atom_site_fract_y
_atom_site_fract_z
Ti1 Ti 0.160 0.250 0.410
Ti2 Ti 0.840 0.750 0.590
Nb1 Nb 0.161 0.565 0.096
Nb2 Nb 0.470 0.065 0.904
Ni1 Ni 0.663 0.163 0.500
Ni2 Ni 0.663 0.663 0.000
# DFT total energy: -24.47 eV per formula unit
# Energy relative to the lowest polymorph listed for this composition: 9 meV/atom

[4]
# PBE Si23Os3, optimized geometry
data_Si23Os3
_chemical_formula_sum 'Si46 Os6'
_space_group_name_H-M_alt 'P 1'
_space_group_IT_number 1
_cell_length_a 10.078
_cell_length_b 10.078
_cell_length_c 10.078
_cell_angle_alpha 90.00
_cell_angle_beta 90.00
_cell_angle_gamma 90.00
loop_
_space_group_symop_operation_xyz
'x,y,z'
loop_
_atom_site_label
_atom_site_type_symbol
_atom_site_fract_x
_atom_site_fract_y
_atom_site_fract_z
Si1 Si 0.000 0.115 0.312
Si2 Si 0.000 0.115 0.688
Si3 Si 0.000 0.250 0.500
Si4 Si 0.000 0.750 0.500
Si5 Si 0.000 0.885 0.312
Si6 Si 0.000 0.885 0.688
Si7 Si 0.115 0.312 0.000
Si8 Si 0.115 0.688 0.000
Si9 Si 0.184 0.184 0.184
Si10 Si 0.184 0.184 0.816
Si11 Si 0.184 0.816 0.184
Si12 Si 0.184 0.816 0.816
Si13 Si 0.188 0.385 0.500
Si14 Si 0.188 0.615 0.500
Si15 Si 0.250 0.500 0.000
Si16 Si 0.312 0.000 0.115
Si17 Si 0.312 0.000 0.885
Si18 Si 0.316 0.316 0.316
Si19 Si 0.316 0.316 0.684
Si20 Si 0.316 0.684 0.316
Si21 Si 0.316 0.684 0.684
Si22 Si 0.385 0.500 0.188
Si23 Si 0.385 0.500 0.812
Si24 Si 0.500 0.000 0.250
Si25 Si 0.500 0.000 0.750
Si26 Si 0.500 0.188 0.385
Si27 Si 0.500 0.188 0.615
Si28 Si 0.500 0.812 0.385
Si29 Si 0.500 0.812 0.615
Si30 Si 0.615 0.500 0.188
Si31 Si 0.615 0.500 0.812
Si32 Si 0.684 0.316 0.316
Si33 Si 0.684 0.316 0.684
Si34 Si 0.684 0.684 0.316
Si35 Si 0.684 0.684 0.684
Si36 Si 0.688 0.000 0.115
Si37 Si 0.688 0.000 0.885
Si38 Si 0.750 0.500 0.000
Si39 Si 0.812 0.385 0.500
Si40 Si 0.812 0.615 0.500
Si41 Si 0.816 0.184 0.184
Si42 Si 0.816 0.184 0.816
Si43 Si 0.816 0.816 0.184
Si44 Si 0.816 0.816 0.816
Si45 Si 0.885 0.312 0.000
Si46 Si 0.885 0.688 0.000
Os1 Os 0.000 0.500 0.250
Os2 Os 0.000 0.500 0.750
Os3 Os 0.250 0.000 0.500
Os4 Os 0.500 0.250 0.000
Os5 Os 0.500 0.750 0.000
Os6 Os 0.750 0.000 0.500
# DFT total energy: -138.54 eV per formula unit

[5]
# PBE Rb2BeSnCl6, optimized geometry
data_Rb2BeSnCl6
_chemical_formula_sum 'Rb2 Be1 Sn1 Cl6'
_space_group_name_H-M_alt 'P 1'
_space_group_IT_number 1
_cell_length_a 7.270
_cell_length_b 7.270
_cell_length_c 7.270
_cell_angle_alpha 120.13
_cell_angle_beta 120.13
_cell_angle_gamma 89.78
loop_
_space_group_symop_operation_xyz
'x,y,z'
loop_
_atom_site_label
_atom_site_type_symbol
_atom_site_fract_x
_atom_site_fract_y
_atom_site_fract_z
Rb1 Rb 0.250 0.750 0.500
Rb2 Rb 0.750 0.250 0.500
Be1 Be 0.000 0.000 0.000
Sn1 Sn 0.500 0.500 0.000
Cl1 Cl 0.226 0.226 0.452
Cl2 Cl 0.226 0.774 0.000
Cl3 Cl 0.227 0.227 0.000
Cl4 Cl 0.773 0.773 0.000
Cl5 Cl 0.774 0.226 0.000
Cl6 Cl 0.774 0.774 0.548
# DFT total energy: -34.68 eV per formula unit
# Energy relative to the lowest polymorph listed for this composition: 129 meV/atom

[6]
# PBE TbZrAlHg, optimized geometry
data_TbZrAlHg
_chemical_formula_sum 'Tb1 Zr1 Al1 Hg1'
_space_group_name_H-M_alt 'P 1'
_space_group_IT_number 1
_cell_length_a 5.047
_cell_length_b 5.047
_cell_length_c 5.047
_cell_angle_alpha 60.00
_cell_angle_beta 60.00
_cell_angle_gamma 60.00
loop_
_space_group_symop_operation_xyz
'x,y,z'
loop_
_atom_site_label
_atom_site_type_symbol
_atom_site_fract_x
_atom_site_fract_y
_atom_site_fract_z
Tb1 Tb 0.000 0.000 0.000
Zr1 Zr 0.500 0.500 0.500
Al1 Al 0.250 0.250 0.250
Hg1 Hg 0.750 0.750 0.750
# DFT total energy: -18.29 eV per formula unit

[7]
# PBE FeW, optimized geometry
data_FeW
_chemical_formula_sum 'Fe2 W2'
_space_group_name_H-M_alt 'P 1'
_space_group_IT_number 1
_cell_length_a 4.295
_cell_length_b 4.295
_cell_length_c 4.295
_cell_angle_alpha 60.00
_cell_angle_beta 60.00
_cell_angle_gamma 60.00
loop_
_space_group_symop_operation_xyz
'x,y,z'
loop_
_atom_site_label
_atom_site_type_symbol
_atom_site_fract_x
_atom_site_fract_y
_atom_site_fract_z
Fe1 Fe 0.125 0.125 0.125
Fe2 Fe 0.875 0.875 0.875
W1 W 0.375 0.375 0.375
W2 W 0.625 0.625 0.625
# DFT total energy: -20.98 eV per formula unit

[8]
# PBE LaYAsP, optimized geometry
data_LaYAsP
_chemical_formula_sum 'La1 Y1 As1 P1'
_space_group_name_H-M_alt 'P 1'
_space_group_IT_number 1
_cell_length_a 7.269
_cell_length_b 7.269
_cell_length_c 7.269
_cell_angle_alpha 33.58
_cell_angle_beta 33.58
_cell_angle_gamma 33.58
loop_
_space_group_symop_operation_xyz
'x,y,z'
loop_
_atom_site_label
_atom_site_type_symbol
_atom_site_fract_x
_atom_site_fract_y
_atom_site_fract_z
La1 La 0.000 0.000 0.000
Y1 Y 0.504 0.504 0.504
As1 As 0.757 0.757 0.757
P1 P 0.248 0.248 0.248
# DFT total energy: -27.74 eV per formula unit

[9]
# PBE K12Na7Li, optimized geometry
data_K12Na7Li
_chemical_formula_sum 'K12 Na7 Li1'
_space_group_name_H-M_alt 'P 1'
_space_group_IT_number 1
_cell_length_a 13.535
_cell_length_b 13.535
_cell_length_c 13.535
_cell_angle_alpha 116.60
_cell_angle_beta 116.60
_cell_angle_gamma 116.60
loop_
_space_group_symop_operation_xyz
'x,y,z'
loop_
_atom_site_label
_atom_site_type_symbol
_atom_site_fract_x
_atom_site_fract_y
_atom_site_fract_z
K1 K 0.031 0.368 0.050
K2 K 0.050 0.031 0.368
K3 K 0.056 0.618 0.442
K4 K 0.368 0.050 0.031
K5 K 0.382 0.558 0.944
K6 K 0.442 0.056 0.618
K7 K 0.558 0.944 0.382
K8 K 0.618 0.442 0.056
K9 K 0.632 0.950 0.969
K10 K 0.944 0.382 0.558
K11 K 0.950 0.969 0.632
K12 K 0.969 0.632 0.950
Na1 Na 0.000 0.000 0.000
Na2 Na 0.199 0.408 0.438
Na3 Na 0.408 0.438 0.199
Na4 Na 0.438 0.199 0.408
Na5 Na 0.562 0.801 0.592
Na6 Na 0.592 0.562 0.801
Na7 Na 0.801 0.592 0.562
Li1 Li 0.500 0.500 0.500
# DFT total energy: -23.33 eV per formula unit
# Energy relative to the lowest polymorph listed for this composition: 19 meV/atom